A plane-wave DFT calculation with PBE was carried out for Y4SbTe2 after structural relaxation.

As for the size of the total moment: 0.00 μB per cell. Its crystal system is tetragonal. The calculation puts the energy above the most stable polymorph in this dataset at 3.49 eV/f.u.

a b c (Å): 5.679 5.679 8.648
angles (deg): 70.83 70.83 90.00
Positions (direct):
Y: 0.500 0.000 0.000
Y: 0.000 0.500 0.000
Y: 0.196 0.196 0.608
Y: 0.804 0.804 0.392
Sb: 0.000 0.000 0.000
Te: 0.387 0.387 0.225
Te: 0.613 0.613 0.775



A plane-wave DFT calculation with PBE was carried out for YSb2Te after structural relaxation.

As for the size of the total moment: 0.00 μB per cell. Its crystal system is monoclinic.

a b c (Å): 6.376 6.376 4.757
angles (deg): 84.70 84.70 37.61
Positions (direct):
Sb: 0.988 0.988 0.033
Sb: 0.512 0.512 0.467
Te: 0.750 0.750 0.750
Y: 0.250 0.250 0.250



A plane-wave DFT calculation with PBE was carried out for YSb2Te after structural relaxation.

As for the size of the total moment: 0.00 μB per cell. Its crystal system is orthorhombic.

a b c (Å): 4.210 4.486 6.071
angles (deg): 90.00 90.00 90.00
Positions (direct):
Te: 0.500 0.000 0.500
Sb: 0.500 0.500 0.000
Sb: 0.000 0.000 0.000
Y: 0.000 0.500 0.500



A plane-wave DFT calculation with PBE was carried out for Y5Sb2Te2 after structural relaxation.

As for the size of the total moment: 0.00 μB per cell. Its crystal system is orthorhombic.

a b c (Å): 8.095 8.704 8.704
angles (deg): 124.63 90.00 90.00
Positions (direct):
Te: 0.500 0.700 0.300
Te: 0.000 0.800 0.200
Te: 0.500 0.300 0.700
Te: 0.000 0.200 0.800
Sb: 0.857 0.356 0.356
Sb: 0.357 0.144 0.144
Sb: 0.143 0.644 0.644
Sb: 0.643 0.856 0.856
Y: 0.342 0.707 0.977
Y: 0.158 0.477 0.207
Y: 0.500 0.500 0.500
Y: 0.342 0.977 0.707
Y: 0.842 0.523 0.793
Y: 0.158 0.207 0.477
Y: 0.842 0.793 0.523
Y: 0.000 0.000 0.000
Y: 0.658 0.293 0.023
Y: 0.658 0.023 0.293



A plane-wave DFT calculation with PBE was carried out for YSbTe after structural relaxation.

As for the size of the total moment: 0.00 μB per cell. Its crystal system is tetragonal.

a b c (Å): 5.876 5.877 3.997
angles (deg): 70.11 70.12 39.77
Positions (direct):
Sb: 0.011 0.011 0.989
Y: 0.672 0.672 0.328
Te: 0.317 0.317 0.683



A plane-wave DFT calculation with PBE was carried out for YSbTe2 after structural relaxation.

As for the size of the total moment: 0.00 μB per cell. Its crystal system is tetragonal.

a b c (Å): 3.972 3.972 7.441
angles (deg): 90.00 90.00 90.00
Positions (direct):
Sb: 0.500 0.500 0.739
Te: 0.000 0.000 0.955
Te: 0.500 0.500 0.308
Y: 0.000 0.000 0.497



Summary of E_form (uncorrected) in eV/atom
-0.5273 -0.5349 -0.4768 -1.1071 -0.7958 -0.5746
(order as listed above)